{"formula": "TmTe2", "functional": "GGA-PBEsol", "state": "relaxed", "raw_formation_energy_ev_per_atom": -1.12, "energy_ev_per_atom": -5.1036, "magmom_total_mub_per_fu": 0.00, "crystal_system": "tetragonal", "dos_at_fermi_per_ev_fu": 0.41, "cell": [[-3.666, -1.044, -2.110], [0.304, -4.083, 1.491], [-4.624, 2.193, 6.951]], "species": ["Tm", "Tm", "Te", "Te", "Te", "Te"], "frac_coords": [[0.000, 0.500, 0.730], [0.500, 0.000, 0.270], [0.000, 0.500, 0.372], [0.500, 0.000, 0.628], [0.500, 0.500, 0.000], [0.000, 0.000, 0.000]]}

{"formula": "TmTe3", "functional": "GGA-PBEsol", "state": "relaxed", "raw_formation_energy_ev_per_atom": -0.89, "energy_ev_per_atom": -4.7616, "magmom_total_mub_per_fu": 0.00, "crystal_system": "orthorhombic", "dos_at_fermi_per_ev_fu": 1.26, "cell": [[4.255, 0.000, 0.000], [0.000, 4.257, 0.000], [-2.127, 0.000, 12.633]], "species": ["Tm", "Tm", "Te", "Te", "Te", "Te", "Te", "Te"], "frac_coords": [[0.170, 0.750, 0.341], [0.830, 0.250, 0.659], [0.926, 0.750, 0.852], [0.074, 0.250, 0.148], [0.574, 0.750, 0.148], [0.426, 0.250, 0.852], [0.293, 0.750, 0.587], [0.707, 0.250, 0.413]]}

{"formula": "Tm2Te5", "functional": "GGA-PBEsol", "state": "relaxed", "raw_formation_energy_ev_per_atom": -0.99, "energy_ev_per_atom": -4.9125, "magmom_total_mub_per_fu": 0.00, "crystal_system": "orthorhombic", "dos_at_fermi_per_ev_fu": 1.66, "cell": [[4.291, 0.000, 0.000], [0.000, 4.293, 0.000], [-2.146, 0.000, 21.305]], "species": ["Tm", "Tm", "Tm", "Tm", "Te", "Te", "Te", "Te", "Te", "Te", "Te", "Te", "Te", "Te"], "frac_coords": [[0.900, 0.750, 0.801], [0.100, 0.250, 0.199], [0.693, 0.750, 0.387], [0.307, 0.250, 0.613], [0.044, 0.750, 0.087], [0.956, 0.250, 0.913], [0.456, 0.750, 0.913], [0.544, 0.250, 0.087], [0.250, 0.750, 0.500], [0.750, 0.250, 0.500], [0.827, 0.750, 0.653], [0.173, 0.250, 0.347], [0.622, 0.750, 0.243], [0.378, 0.250, 0.757]]}